A plane-wave DFT calculation with GGA+U was carried out for crystalline Mn3Br3O at its relaxed geometry.

The calculated density is 3.99 g/cm³. For the calculated total energy, the calculation gives -5.54 eV per atom. The space group is P2_1/c (14). For the volume, the calculation gives 25.0 Å³/atom.

a = 8.4521 Å, b = 7.7206 Å, c = 12.1837 Å
α = 90.00°, β = 90.00°, γ = 118.21°
Last column: nearest neighbours and their distance in Å.
Element x y z (fractional)
Br 0.2562 0.4690 0.2993  4 Mn 2.78-3.07
Mn 0.0745 0.9370 0.1011  2 O 2.08-2.15
Br 0.7314 0.2154 0.4614  3 Mn 2.72-2.77
Br 0.7438 0.5310 0.7007  4 Mn 2.78-3.07
Br 0.2438 0.0310 0.7993  4 Mn 2.78-3.07
Mn 0.9922 0.6488 0.8705  1 O 2.08
Br 0.3327 0.0492 0.2707  4 Mn 2.82-3.13
Mn 0.4255 0.5630 0.6011  2 O 2.08-2.15
Mn 0.9255 0.0630 0.8989  2 O 2.08-2.15
Mn 0.5745 0.4370 0.3989  2 O 2.08-2.15
Br 0.7562 0.9690 0.2007  4 Mn 2.78-3.07
Mn 0.8388 0.8781 0.5496  1 O 2.07
O 0.8949 0.8011 0.9661  4 Mn 2.07-2.15
Mn 0.4922 0.1488 0.6295  1 O 2.08
O 0.1051 0.1989 0.0339  4 Mn 2.07-2.15
Br 0.1673 0.4508 0.7707  4 Mn 2.82-3.13
Br 0.6673 0.9508 0.7293  4 Mn 2.82-3.13
Br 0.8327 0.5492 0.2293  4 Mn 2.82-3.13
Br 0.2686 0.7846 0.5386  3 Mn 2.72-2.77
Mn 0.1612 0.1219 0.4504  1 O 2.07
Br 0.7686 0.2846 0.9614  3 Mn 2.72-2.77
Br 0.2314 0.7154 0.0386  3 Mn 2.72-2.77
Mn 0.6612 0.6219 0.0496  1 O 2.07
Mn 0.0078 0.3512 0.1295  1 O 2.08
O 0.3949 0.3011 0.5339  4 Mn 2.07-2.15
Mn 0.5078 0.8512 0.3705  1 O 2.08
Mn 0.3388 0.3781 0.9504  1 O 2.07
O 0.6051 0.6989 0.4661  4 Mn 2.07-2.15